Record 1
Below is a geometry-optimized Ce2DyMgIn4 structure, with properties calculated at the PBE level.

## Properties
Its density of states at the Fermi level is 13.4 states/eV/f.u. The energy of formation from the pure elements is -269 kJ/mol of formula units.

Unit cell a=5.2886 b=5.2886 c=26.6375 alpha=90.00 beta=90.00 gamma=120.00
Space group R-3m (No. 166, hexagonal axes)
Asymmetric unit:
Ce 0.0000 0.0000 0.2435 [6 per cell]
Dy 0.0000 0.0000 0.0000 [3 per cell]
Mg 0.0000 0.0000 0.5000 [3 per cell]
In 0.0000 0.0000 0.1235 [6 per cell]
In 0.0000 0.0000 0.3746 [6 per cell]

Record 2
Below is a geometry-optimized MnZn6Rh2 structure, with properties calculated at the PBE level.

## Properties
Its density of states at the Fermi level is 3.4 states/eV/f.u. The energy of formation from the pure elements is -195 kJ/mol of formula units.

Unit cell a=11.885 b=3.736 c=6.121 alpha=90.00 beta=109.58 gamma=90.00
Space group C2/m (No. 12)
Asymmetric unit:
Mn 0.000 0.000 0.000 [2 per cell]
Zn 0.104 0.000 0.664 [4 per cell]
Zn 0.162 0.500 0.996 [4 per cell]
Zn 0.221 0.000 0.334 [4 per cell]
Rh 0.061 0.500 0.333 [4 per cell]

Record 3
Below is a geometry-optimized MgScTa structure, with properties calculated at the PBE level.

## Properties
Its density of states at the Fermi level is 1.7 states/eV/f.u. The energy of formation from the pure elements is 31 kJ/mol of formula units. The energy relative to the lowest polymorph listed for this composition is 47 meV per atom.

Unit cell a=2.942 b=2.942 c=14.527 alpha=90.00 beta=90.00 gamma=90.00
Space group I4mm (No. 107)
Asymmetric unit:
Mg 0.000 0.000 0.000 [2 per cell]
Sc 0.000 0.000 0.315 [2 per cell]
Ta 0.000 0.000 0.665 [2 per cell]

Here are the calculated calculated total energy numbers, same order: -0.2922; -0.2739; -0.4767 (Ry per atom).